[1]
The following is a DFT calculation (meta-GGA SCAN) of a crystal of LaAl2Ni relaxed with PBEsol.

The formation energy comes out at -1.79 eV/f.u. As for the spin magnetization: 0.00 μB/f.u.

Structure (CIF):
```
data_LaAl2Ni
_chemical_formula_sum 'La1 Al2 Ni1'
_cell_length_a 3.032
_cell_length_b 3.032
_cell_length_c 7.640
_cell_angle_alpha 90.00
_cell_angle_beta 90.00
_cell_angle_gamma 90.00
_symmetry_space_group_name_H-M 'P 4/m m m'
_symmetry_Int_Tables_number 123
_symmetry_space_group_name_Hall '-P 4 2'
loop_
_atom_site_label
_atom_site_fract_x
_atom_site_fract_y
_atom_site_fract_z
La1 0.000 0.000 0.000
Al1 0.500 0.500 0.324
Ni1 0.000 0.000 0.500
```



[2]
The following is a DFT calculation (meta-GGA SCAN) of a crystal of Cs2NaHoCl6 relaxed with PBEsol.

The formation energy (no corrections) comes out at -2.403 eV per atom. As for the spin magnetization: 0.00 μB/f.u.

Structure (CIF):
```
data_Cs2NaHoCl6
_chemical_formula_sum 'Cs8 Na4 Ho4 Cl24'
_cell_length_a 10.630
_cell_length_b 10.630
_cell_length_c 10.630
_cell_angle_alpha 90.00
_cell_angle_beta 90.00
_cell_angle_gamma 90.00
_symmetry_space_group_name_H-M 'F m -3 m'
_symmetry_Int_Tables_number 225
_symmetry_space_group_name_Hall '-F 4 2 3'
loop_
_atom_site_label
_atom_site_fract_x
_atom_site_fract_y
_atom_site_fract_z
Cs1 0.250 0.250 0.250
Na1 0.000 0.000 0.000
Ho1 0.000 0.000 0.500
Cl1 0.000 0.000 0.256
```



[3]
The following is a DFT calculation (meta-GGA SCAN) of a crystal of Ce2Zn17 relaxed with PBEsol.

The formation energy comes out at -5.32 eV/f.u. As for the spin magnetization: 1.58 μB/f.u.

Structure (CIF):
```
data_Ce2Zn17
_chemical_formula_sum 'Ce6 Zn51'
_cell_length_a 8.8595
_cell_length_b 8.8595
_cell_length_c 12.9767
_cell_angle_alpha 90.00
_cell_angle_beta 90.00
_cell_angle_gamma 120.00
_symmetry_space_group_name_H-M 'R -3 m'
_symmetry_Int_Tables_number 166
_symmetry_space_group_name_Hall '-R 3 2"'
loop_
_atom_site_label
_atom_site_fract_x
_atom_site_fract_y
_atom_site_fract_z
Ce1 0.0000 0.0000 0.1626
Zn1 0.0000 0.0000 0.4002
Zn2 0.0000 0.2938 0.5000
Zn3 0.0000 0.5000 0.0000
Zn4 0.0070 0.5035 0.6527
```



[4]
The following is a DFT calculation (meta-GGA SCAN) of a crystal of CsSCl3 relaxed with PBEsol.

The formation energy (no corrections) comes out at -0.845 eV per atom. As for the spin magnetization: 0.00 μB/f.u.

Structure (CIF):
```
data_CsSCl3
_chemical_formula_sum 'Cs1 S1 Cl3'
_cell_length_a 5.020
_cell_length_b 5.020
_cell_length_c 5.020
_cell_angle_alpha 90.00
_cell_angle_beta 90.00
_cell_angle_gamma 90.00
_symmetry_space_group_name_H-M 'P m -3 m'
_symmetry_Int_Tables_number 221
_symmetry_space_group_name_Hall '-P 4 2 3'
loop_
_atom_site_label
_atom_site_fract_x
_atom_site_fract_y
_atom_site_fract_z
Cs1 0.000 0.000 0.000
S1 0.500 0.500 0.500
Cl1 0.000 0.500 0.500
```



[5]
The following is a DFT calculation (meta-GGA SCAN) of a crystal of CrFe2Se relaxed with PBEsol.

The formation energy (no corrections) comes out at 0.367 eV per atom. As for the spin magnetization: 2.79 μB/f.u.

Structure (CIF):
```
data_CrFe2Se
_chemical_formula_sum 'Cr2 Fe4 Se2'
_cell_length_a 3.498
_cell_length_b 3.498
_cell_length_c 7.347
_cell_angle_alpha 90.00
_cell_angle_beta 90.00
_cell_angle_gamma 90.00
_symmetry_space_group_name_H-M 'I -4 m 2'
_symmetry_Int_Tables_number 119
_symmetry_space_group_name_Hall 'I -4 -2'
loop_
_atom_site_label
_atom_site_fract_x
_atom_site_fract_y
_atom_site_fract_z
Cr1 0.000 0.000 0.000
Fe1 0.000 0.000 0.500
Fe2 0.000 0.500 0.250
Se1 0.000 0.500 0.750
```



[6]
The following is a DFT calculation (meta-GGA SCAN) of a crystal of Cr relaxed with PBEsol.

The formation energy comes out at 0.10 eV/f.u. As for the spin magnetization: 0.00 μB/f.u.

Structure (CIF):
```
data_Cr
_chemical_formula_sum 'Cr8'
_cell_length_a 4.485
_cell_length_b 4.485
_cell_length_c 4.485
_cell_angle_alpha 90.00
_cell_angle_beta 90.00
_cell_angle_gamma 90.00
_symmetry_space_group_name_H-M 'P m -3 n'
_symmetry_Int_Tables_number 223
_symmetry_space_group_name_Hall '-P 4n 2 3'
loop_
_atom_site_label
_atom_site_fract_x
_atom_site_fract_y
_atom_site_fract_z
Cr1 0.000 0.000 0.000
Cr2 0.000 0.250 0.500
```



[7]
The following is a DFT calculation (meta-GGA SCAN) of a crystal of Ba10LiW7O30 relaxed with PBEsol.

The formation energy (no corrections) comes out at -2.736 eV per atom. As for the spin magnetization: 0.55 μB/f.u.

Structure (CIF):
```
data_Ba10LiW7O30
_chemical_formula_sum 'Ba10 Li1 W7 O30'
_cell_length_a 5.7813
_cell_length_b 5.7813
_cell_length_c 24.2307
_cell_angle_alpha 90.00
_cell_angle_beta 90.00
_cell_angle_gamma 120.00
_symmetry_space_group_name_H-M 'P 3 m 1'
_symmetry_Int_Tables_number 156
loop_
_symmetry_equiv_pos_as_xyz
'x,y,z'
'-y,x-y,z'
'-x+y,-x,z'
'-y,-x,z'
'-x+y,y,z'
'x,x-y,z'
loop_
_atom_site_label
_atom_site_fract_x
_atom_site_fract_y
_atom_site_fract_z
Ba1 0.0000 0.0000 0.0000
Ba2 0.0000 0.0000 0.1964
Ba3 0.0000 0.0000 0.4929
Ba4 0.0000 0.0000 0.7017
Ba5 0.3333 0.6667 0.3166
Ba6 0.3333 0.6667 0.5917
Ba7 0.3333 0.6667 0.8908
Ba8 0.6667 0.3333 0.0980
Ba9 0.6667 0.3333 0.4075
Ba10 0.6667 0.3333 0.8004
Li1 0.6667 0.3333 0.5323
W1 0.3333 0.6667 0.0473
W2 0.3333 0.6667 0.1491
W3 0.3333 0.6667 0.4522
W4 0.3333 0.6667 0.7513
W5 0.6667 0.3333 0.2475
W6 0.6667 0.3333 0.6487
W7 0.6667 0.3333 0.9501
O1 0.0162 0.5081 0.4998
O2 0.1705 0.3409 0.0981
O3 0.1794 0.3588 0.4063
O4 0.1797 0.3595 0.7934
O5 0.3512 0.1756 0.2829
O6 0.3527 0.1764 0.6111
O7 0.3535 0.1767 0.9118
O8 0.5012 0.0024 0.0039
O9 0.5013 0.0026 0.7027
O10 0.5016 0.0031 0.1905
```



[8]
The following is a DFT calculation (meta-GGA SCAN) of a crystal of TmGaO3 relaxed with PBEsol.

The formation energy (no corrections) comes out at -3.047 eV per atom. As for the spin magnetization: 0.00 μB/f.u.

Structure (CIF):
```
data_TmGaO3
_chemical_formula_sum 'Tm2 Ga2 O6'
_cell_length_a 3.4556
_cell_length_b 3.4556
_cell_length_c 11.5174
_cell_angle_alpha 90.00
_cell_angle_beta 90.00
_cell_angle_gamma 120.00
_symmetry_space_group_name_H-M 'P 63/m m c'
_symmetry_Int_Tables_number 194
_symmetry_space_group_name_Hall '-P 6c 2c'
loop_
_atom_site_label
_atom_site_fract_x
_atom_site_fract_y
_atom_site_fract_z
Tm1 0.0000 0.0000 0.0000
Ga1 0.3333 0.6667 0.2500
O1 0.0000 0.0000 0.2500
O2 0.3333 0.6667 0.0855
```



E_tot, respectively: -19.143, -20.072, -17.063, -15.120, -18.314, -18.287, -25.083, -20.421 eV per atom.